No. 1
Material: Fe2TcCl8
Method: DFT, PBE-GGA
State: relaxed

Properties
* space-group type: C2/m (12)
* ρ: 2.451 g/cm3
* total energy: -4.521 eV/atom

Cell: 8.272 8.272 5.917 Å, 91.60 91.60 55.69°
Atoms (fractional coordinates):
Fe (0.147, 0.147, 0.390)
Fe (0.853, 0.853, 0.610)
Tc (0.000, 0.000, 0.000)
Cl (0.135, 0.135, 0.777)
Cl (0.159, 0.706, 0.768)
Cl (0.291, 0.291, 0.327)
Cl (0.294, 0.841, 0.232)
Cl (0.706, 0.159, 0.768)
Cl (0.709, 0.709, 0.673)
Cl (0.841, 0.294, 0.232)
Cl (0.865, 0.865, 0.223)

No. 2
Material: Fe2TcCl
Method: DFT, PBE-GGA
State: relaxed

Properties
* space-group type: Pmmm (47)
* ρ: 6.785 g/cm3
* E above lowest polymorph: 0.0 meV/atom

Cell: 2.842 2.897 7.286 Å, 90.00 90.00 90.00°
Atoms (fractional coordinates):
Fe (0.000, 0.000, 0.225)
Fe (0.000, 0.000, 0.775)
Tc (0.500, 0.500, 0.000)
Cl (0.500, 0.000, 0.500)

Repeat the first record exactly.
Material: Fe2TcCl8
Method: DFT, PBE-GGA
State: relaxed

Properties
* space-group type: C2/m (12)
* ρ: 2.451 g/cm3
* total energy: -4.521 eV/atom

Cell: 8.272 8.272 5.917 Å, 91.60 91.60 55.69°
Atoms (fractional coordinates):
Fe (0.147, 0.147, 0.390)
Fe (0.853, 0.853, 0.610)
Tc (0.000, 0.000, 0.000)
Cl (0.135, 0.135, 0.777)
Cl (0.159, 0.706, 0.768)
Cl (0.291, 0.291, 0.327)
Cl (0.294, 0.841, 0.232)
Cl (0.706, 0.159, 0.768)
Cl (0.709, 0.709, 0.673)
Cl (0.841, 0.294, 0.232)
Cl (0.865, 0.865, 0.223)

Q: What is the ρ in the first record?
A: 2.451 g/cm3

Q: Which value of ρ does entry 1 give?
A: 2.451 g/cm3

Q: Look up the ρ of the second one.
A: 6.785 g/cm3